No. 1
A plane-wave DFT calculation with PBEsol was carried out for a relaxed Re2Rh3 crystal.

Results
Excess energy over the best structure of this formula in the dataset, eV/atom: 0.6705

Cell lengths 4.1672, 4.1672, 5.2235 Å; angles 90.00, 90.00, 120.00 degrees
Space group P-3m1 (No. 164)
Symmetry-distinct sites (fractional):
Re  0.3333  0.6667  0.3571 x2
Rh  0.0000  0.0000  0.5000 x1
Rh  0.3333  0.6667  0.8720 x2

=====

No. 2
A plane-wave DFT calculation with PBEsol was carried out for a relaxed Ta2CoB2 crystal.

Results
Total DFT energy (no corrections), eV/atom: -10.075

Cell lengths 5.701, 5.701, 3.360 Å; angles 90.00, 90.00, 90.00 degrees
Space group P4/mbm (No. 127)
Symmetry-distinct sites (fractional):
Ta  0.180  0.320  0.000 x4
Co  0.000  0.000  0.500 x2
B  0.113  0.613  0.500 x4

=====

No. 3
A plane-wave DFT calculation with PBEsol was carried out for a relaxed CaPr2Ti2ZnO9 crystal.

Results
Formation energy (no corrections), eV per atom: -3.033

Cell lengths 5.433, 5.593, 23.242 Å; angles 90.01, 90.16, 90.24 degrees
Space group P1 (No. 1)
Symmetry-distinct sites (fractional):
Ca  0.000  0.000  0.000 x1
Ca  0.000  0.000  0.331 x1
Ca  0.500  0.397  0.828 x1
Ca  0.501  0.397  0.158 x1
Pr  0.007  0.005  0.664 x1
Pr  0.477  0.506  0.665 x1
Pr  0.479  0.511  0.000 x1
Pr  0.480  0.512  0.330 x1
Pr  0.507  0.399  0.495 x1
Pr  0.978  0.901  0.494 x1
Pr  0.979  0.903  0.159 x1
Pr  0.980  0.903  0.829 x1
Ti  0.474  0.964  0.916 x1
Ti  0.475  0.965  0.246 x1
Ti  0.493  0.952  0.580 x1
Ti  0.976  0.447  0.913 x1
Ti  0.976  0.448  0.244 x1
Ti  0.985  0.451  0.748 x1
Ti  0.992  0.447  0.080 x1
Ti  0.998  0.450  0.412 x1
Zn  0.490  0.955  0.410 x1
Zn  0.490  0.956  0.079 x1
Zn  0.492  0.954  0.749 x1
Zn  0.993  0.453  0.580 x1
O  0.080  0.473  0.164 x1
O  0.080  0.478  0.492 x1
O  0.081  0.472  0.833 x1
O  0.186  0.737  0.394 x1
O  0.186  0.738  0.065 x1
O  0.187  0.740  0.733 x1
O  0.204  0.744  0.260 x1
O  0.204  0.744  0.929 x1
O  0.208  0.753  0.595 x1
O  0.277  0.255  0.733 x1
O  0.279  0.258  0.066 x1
O  0.281  0.258  0.397 x1
O  0.284  0.243  0.930 x1
O  0.284  0.244  0.260 x1
O  0.297  0.239  0.596 x1
O  0.403  0.977  0.498 x1
O  0.411  0.975  0.166 x1
O  0.411  0.977  0.835 x1
O  0.582  0.927  0.661 x1
O  0.585  0.929  0.993 x1
O  0.586  0.931  0.323 x1
O  0.692  0.669  0.562 x1
O  0.704  0.647  0.425 x1
O  0.708  0.646  0.094 x1
O  0.708  0.647  0.764 x1
O  0.709  0.656  0.230 x1
O  0.709  0.656  0.899 x1
O  0.781  0.151  0.564 x1
O  0.786  0.165  0.899 x1
O  0.786  0.166  0.229 x1
O  0.793  0.169  0.427 x1
O  0.797  0.166  0.093 x1
O  0.801  0.162  0.762 x1
O  0.903  0.431  0.667 x1
O  0.912  0.426  0.326 x1
O  0.913  0.429  0.995 x1

=====

No. 4
A plane-wave DFT calculation with PBEsol was carried out for a relaxed HgRu crystal.

Results
Total DFT energy (no corrections), eV/atom: -4.641

Cell lengths 6.419, 6.419, 6.419 Å; angles 90.00, 90.00, 90.00 degrees
Space group Fd-3m (No. 227, origin choice 2)
Symmetry-distinct sites (fractional):
Hg  0.125  0.125  0.125 x8
Ru  0.125  0.125  0.625 x8

=====

- What is the formula in the second record?
  Ta2CoB2

=====

- What is the formula in the third record?
  CaPr2Ti2ZnO9